Record 1
Compound: Ho3Sn3Pd
Source: Alexandria
Functional: PBE-GGA
Structure: optimized geometry

Computed properties:
symmetry: C2/m
DFT total energy: -5.21 eV/atom
ΔH_f (0 K): -5.5 eV per formula unit

a = 6.0167 Å, b = 6.0167 Å, c = 14.7811 Å
α = 107.28°, β = 107.28°, γ = 43.94°
Closest atoms and distances in Å follow each position.
Fractional coordinates of all 14 atoms:
Ho: 0.0291 0.0291 0.3814  6 Sn 3.11-3.33, 3 Pd 3.20-3.31
Ho: 0.0965 0.0965 0.9216  5 Sn 3.03-3.17
Ho: 0.2343 0.2343 0.2306  6 Sn 3.15-3.31, 2 Pd 3.23
Ho: 0.7657 0.7657 0.7694  6 Sn 3.15-3.31, 2 Pd 3.23
Ho: 0.9035 0.9035 0.0784  5 Sn 3.03-3.17
Ho: 0.9709 0.9709 0.6186  6 Sn 3.11-3.33, 3 Pd 3.20-3.31
Sn: 0.3607 0.3607 0.4552  3 Pd 2.67-2.85, 1 Sn 2.96
Sn: 0.3693 0.3693 0.9243  2 Sn 2.98-3.05, 5 Ho 3.03-3.15
Sn: 0.4820 0.4820 0.7665  1 Pd 2.74, 1 Sn 2.98
Sn: 0.5180 0.5180 0.2335  1 Pd 2.74, 1 Sn 2.98
Sn: 0.6307 0.6307 0.0757  2 Sn 2.98-3.05, 5 Ho 3.03-3.15
Sn: 0.6393 0.6393 0.5448  3 Pd 2.67-2.85, 1 Sn 2.96
Pd: 0.2650 0.2650 0.6125  4 Sn 2.67-2.85
Pd: 0.7350 0.7350 0.3875  4 Sn 2.67-2.85

=====

Record 2
Compound: Ho6SnPd2
Source: Alexandria
Functional: PBE-GGA
Structure: optimized geometry

Computed properties:
symmetry: Immm
DFT total energy: -5.25 eV/atom
ΔH_f (0 K): -5.4 eV per formula unit

a = 8.5402 Å, b = 8.5402 Å, c = 8.5402 Å
α = 113.18°, β = 110.60°, γ = 104.75°
Closest atoms and distances in Å follow each position.
Fractional coordinates of all 18 atoms:
Ho: 0.0364 0.2364 0.8000  1 Pd 2.83, 1 Sn 3.14
Ho: 0.1829 0.2897 0.4727  3 Pd 3.00-3.14, 1 Sn 3.25
Ho: 0.1829 0.7103 0.8932  3 Pd 3.00-3.14, 1 Sn 3.25
Ho: 0.3271 0.0253 0.6981  3 Pd 2.76-3.00
Ho: 0.3271 0.6290 0.3019  3 Pd 2.76-3.00
Ho: 0.4364 0.2364 0.2000  1 Pd 2.83, 1 Sn 3.14
Ho: 0.5636 0.7636 0.8000  1 Pd 2.83, 1 Sn 3.14
Ho: 0.6729 0.3710 0.6981  3 Pd 2.76-3.00
Ho: 0.6729 0.9747 0.3019  3 Pd 2.76-3.00
Ho: 0.8171 0.2897 0.1068  3 Pd 3.00-3.14, 1 Sn 3.25
Ho: 0.8171 0.7103 0.5273  3 Pd 3.00-3.14, 1 Sn 3.25
Ho: 0.9636 0.7636 0.2000  1 Pd 2.83, 1 Sn 3.14
Sn: 0.0000 0.0000 0.0000  8 Ho 3.14-3.25, 2 Pd 3.34
Sn: 0.5000 0.5000 0.0000  12 Ho 3.36-3.66
Pd: 0.1325 0.6325 0.5000  6 Ho 2.76-3.00, 1 Pd 2.76
Pd: 0.3440 0.0000 0.3440  8 Ho 2.83-3.14, 1 Pd 3.03
Pd: 0.6560 0.0000 0.6560  8 Ho 2.83-3.14, 1 Pd 3.03
Pd: 0.8675 0.3675 0.5000  6 Ho 2.76-3.00, 1 Pd 2.76

=====

Record 3
Compound: Sr2HoSn3Pd4
Source: Alexandria
Functional: PBE-GGA
Structure: optimized geometry

Computed properties:
symmetry: P-4m2
DFT total energy: -4.85 eV/atom
ΔH_f (0 K): -7.8 eV per formula unit

a = 4.6528 Å, b = 4.6528 Å, c = 11.2817 Å
α = 90.00°, β = 90.00°, γ = 90.00°
Closest atoms and distances in Å follow each position.
Fractional coordinates of all 10 atoms:
Sr: 0.0000 0.5000 0.2300  8 Pd 3.48-3.59, 6 Sn 3.52-3.83, 2 Ho 3.83
Sr: 0.5000 0.0000 0.7700  8 Pd 3.48-3.59, 6 Sn 3.52-3.83, 2 Ho 3.83
Ho: 0.0000 0.0000 0.5000  4 Pd 2.83
Sn: 0.0000 0.5000 0.8797  5 Pd 2.67-2.69
Sn: 0.5000 0.0000 0.1203  5 Pd 2.67-2.69
Sn: 0.5000 0.5000 0.5000  4 Pd 2.83
Pd: 0.0000 0.0000 0.0000  4 Sn 2.69
Pd: 0.0000 0.5000 0.6432  3 Sn 2.67-2.83, 2 Ho 2.83
Pd: 0.5000 0.0000 0.3568  3 Sn 2.67-2.83, 2 Ho 2.83
Pd: 0.5000 0.5000 0.0000  4 Sn 2.69

=====

Record 4
Compound: HoZnSnPd
Source: Alexandria
Functional: PBE-GGA
Structure: optimized geometry

Computed properties:
symmetry: F-43m
DFT total energy: -4.37 eV/atom
ΔH_f (0 K): -2.4 eV per formula unit

a = 4.8247 Å, b = 4.8247 Å, c = 4.8247 Å
α = 60.00°, β = 60.00°, γ = 60.00°
Closest atoms and distances in Å follow each position.
Fractional coordinates of all 4 atoms:
Ho: 0.0000 0.0000 0.0000  4 Pd 2.95, 4 Zn 2.95
Zn: 0.7500 0.7500 0.7500  4 Sn 2.95, 4 Ho 2.95
Sn: 0.5000 0.5000 0.5000  4 Pd 2.95, 4 Zn 2.95
Pd: 0.2500 0.2500 0.2500  4 Sn 2.95, 4 Ho 2.95

=====

Record 5
Compound: HoZrSnPd
Source: Alexandria
Functional: PBE-GGA
Structure: optimized geometry

Computed properties:
symmetry: F-43m
DFT total energy: -6.13 eV/atom
ΔH_f (0 K): -2.2 eV per formula unit

a = 5.0137 Å, b = 5.0137 Å, c = 5.0137 Å
α = 60.00°, β = 60.00°, γ = 60.00°
Closest atoms and distances in Å follow each position.
Fractional coordinates of all 4 atoms:
Ho: 0.0000 0.0000 0.0000  4 Sn 3.07, 4 Pd 3.07
Zr: 0.5000 0.5000 0.5000  4 Sn 3.07, 4 Pd 3.07
Sn: 0.7500 0.7500 0.7500  4 Zr 3.07, 4 Ho 3.07
Pd: 0.2500 0.2500 0.2500  4 Zr 3.07, 4 Ho 3.07

=====

Record 6
Compound: SrHoPd
Source: Alexandria
Functional: PBE-GGA
Structure: optimized geometry

Computed properties:
symmetry: C2/m
DFT total energy: -4.17 eV/atom
ΔH_f (0 K): -1.1 eV per formula unit
polymorph energy (0 for the lowest one): 115 meV/atom

a = 6.2101 Å, b = 6.2101 Å, c = 8.2618 Å
α = 92.24°, β = 92.24°, γ = 35.91°
Closest atoms and distances in Å follow each position.
Fractional coordinates of all 6 atoms:
Sr: 0.1376 0.1376 0.3598  5 Pd 3.17-3.31
Sr: 0.8624 0.8624 0.6402  5 Pd 3.17-3.31
Ho: 0.1325 0.1325 0.8894  2 Pd 2.78
Ho: 0.8675 0.8675 0.1106  2 Pd 2.78
Pd: 0.4170 0.4170 0.3476  2 Ho 2.78
Pd: 0.5830 0.5830 0.6524  2 Ho 2.78

=====

Record 7
Compound: SrHo2Pd3
Source: Alexandria
Functional: PBE-GGA
Structure: optimized geometry

Computed properties:
symmetry: P4/mmm
DFT total energy: -5.22 eV/atom
ΔH_f (0 K): -4.9 eV per formula unit

a = 3.5356 Å, b = 3.5356 Å, c = 10.9693 Å
α = 90.00°, β = 90.00°, γ = 90.00°
Closest atoms and distances in Å follow each position.
Fractional coordinates of all 6 atoms:
Sr: 0.0000 0.0000 0.0000  8 Pd 3.35, 4 Sr 3.54, 2 Ho 3.73
Ho: 0.0000 0.0000 0.3397  8 Pd 2.92-3.06
Ho: 0.0000 0.0000 0.6603  8 Pd 2.92-3.06
Pd: 0.5000 0.5000 0.2028  4 Ho 2.92, 1 Pd 3.26
Pd: 0.5000 0.5000 0.5000  8 Ho 3.06, 2 Pd 3.26
Pd: 0.5000 0.5000 0.7972  4 Ho 2.92, 1 Pd 3.26

=====

Record 8
Compound: SrHoPd
Source: Alexandria
Functional: PBE-GGA
Structure: optimized geometry

Computed properties:
symmetry: I4mm
DFT total energy: -4.28 eV/atom
ΔH_f (0 K): -1.4 eV per formula unit
polymorph energy (0 for the lowest one): 0 meV/atom

a = 7.1494 Å, b = 7.1494 Å, c = 7.1494 Å
α = 150.41°, β = 150.41°, γ = 42.34°
Closest atoms and distances in Å follow each position.
Fractional coordinates of all 3 atoms:
Sr: 0.0000 0.0000 0.0000  4 Pd 3.37, 1 Ho 3.51, 4 Sr 3.65
Ho: 0.2629 0.2629 0.0000  4 Pd 2.91
Pd: 0.6623 0.6623 0.0000  4 Ho 2.91